KSrPmCl6 PBE-GGA relaxed; total magnetic moment = 0.0 μB/cell; calculated volume = 35.4 Å³/atom; space-group type = P-31c, No. 163; energy relative to the elements, uncorrected = -2293 meV per atom
1.0
7.451 0.000 0.000
-3.725 6.453 0.000
0.000 0.000 13.249
K Sr Pm Cl
2 2 2 12
Cartesian
0.000 0.000 0.000
0.000 0.000 6.624
0.000 4.302 3.312
3.725 2.151 9.936
3.725 2.151 3.312
0.000 4.302 9.936
2.471 4.046 1.786
5.994 2.290 1.786
-1.014 6.336 8.410
-2.269 4.163 11.462
1.457 2.290 4.838
4.980 4.046 4.838
1.014 6.336 11.462
4.740 0.117 4.838
-1.255 2.406 8.410
2.711 0.117 1.786
2.269 4.163 8.410
1.255 2.406 11.462